Entry 1:
Material: Be3PSe
Method: DFT, PBEsol
State: relaxed

Total magnetic moment in μB/cell: 0.0
Formation energy (no corrections) in eV/atom: 0.387
Space group: Pm-3m (221)
Energy above the lowest structure with this stoichiometry in eV per atom: 0.000
Calculated density in g cm⁻³: 3.17

The structure in extended XYZ format:
```
5
Lattice="-1.013 4.000 -0.498 -3.076 -1.099 -2.571 -2.606 -0.257 3.228" Properties=species:S:1:pos:R:3 pbc="T T T"
Be -0.506 2.000 -0.249
Be -1.538 -0.550 -1.285
Be -1.303 -0.129 1.614
Se -3.347 1.322 0.080
P 0.000 0.000 0.000
```

***

Entry 2:
Material: Be2SiP
Method: DFT, PBEsol
State: relaxed

Total magnetic moment in μB/cell: 0.0
Formation energy (no corrections) in eV/atom: 0.393
Space group: I4/mmm (139)
Energy above the lowest structure with this stoichiometry in eV per atom: 0.130
Calculated density in g cm⁻³: 2.89

The structure in extended XYZ format:
```
4
Lattice="3.625 0.000 0.000 0.000 3.625 0.000 -1.812 -1.812 3.373" Properties=species:S:1:pos:R:3 pbc="T T T"
Si 0.000 0.000 0.000
P 1.812 1.812 0.000
Be 1.812 0.000 1.687
Be 0.000 1.812 1.687
```

***

Entry 3:
Material: BeSiP
Method: DFT, PBEsol
State: relaxed

Total magnetic moment in μB/cell: 0.0
Formation energy (no corrections) in eV/atom: 0.322
Space group: P-6m2 (187)
Calculated density in g cm⁻³: 3.04

The structure in extended XYZ format:
```
3
Lattice="-1.208 -2.061 0.294 3.527 -1.872 1.368 -2.580 1.904 2.745" Properties=species:S:1:pos:R:3 pbc="T T T"
Be 0.000 0.000 0.000
P -0.544 0.646 2.286
Si 1.491 -0.613 1.827
```

***

Entry 4:
Material: BeSi2P
Method: DFT, PBEsol
State: relaxed

Total magnetic moment in μB/cell: 0.0
Formation energy (no corrections) in eV/atom: 0.159
Space group: Pmm2 (25)
Energy above the lowest structure with this stoichiometry in eV per atom: 0.000
Calculated density in g cm⁻³: 2.66

The structure in extended XYZ format:
```
4
Lattice="-0.587 0.469 2.730 -0.506 -3.426 0.480 5.877 -0.675 1.380" Properties=species:S:1:pos:R:3 pbc="T T T"
P 1.947 -1.765 2.190
Be 1.915 -0.220 0.450
Si 5.618 -0.645 1.319
Si 4.120 -2.014 2.701
```